(1)
Entry from Alexandria via LeMat-Bulk: crystalline Re2AgIr at its relaxed geometry (PBE-GGA).

Cell lengths 9.487, 9.487, 9.487 Å; angles 16.74, 16.74, 16.74 degrees
Fractional coordinates of all 4 atoms:
1 Re 0.005 0.005 0.005
2 Re 0.495 0.495 0.495
3 Ir 0.750 0.750 0.750
4 Ag 0.250 0.250 0.250

Results
Energy relative to the lowest polymorph listed for this composition (kJ/mol of formula units): 30
Formation enthalpy at 0 K (eV per atom): 0.261
Final energy (eV per cell): -35.56

(2)
Entry from Alexandria via LeMat-Bulk: crystalline Al2ZnCd at its relaxed geometry (PBE-GGA).

Cell lengths 4.713, 4.713, 3.381 Å; angles 90.00, 90.00, 90.00 degrees
Fractional coordinates of all 4 atoms:
1 Zn 0.000 0.500 0.500
2 Al 0.000 0.000 0.000
3 Al 0.500 0.500 0.000
4 Cd 0.500 0.000 0.500

Results
Energy relative to the lowest polymorph listed for this composition (kJ/mol of formula units): 66
Formation enthalpy at 0 K (eV per atom): 0.226
Final energy (eV per cell): -8.77

(3)
Entry from Alexandria via LeMat-Bulk: crystalline Ti2CuRe at its relaxed geometry (PBE-GGA).

Cell lengths 6.901, 6.901, 5.552 Å; angles 51.57, 51.57, 90.00 degrees
Fractional coordinates of all 8 atoms:
1 Re 0.000 0.000 0.000
2 Re 0.750 0.250 0.500
3 Cu 0.500 0.500 0.000
4 Cu 0.250 0.750 0.500
5 Ti 0.622 0.125 0.250
6 Ti 0.128 0.625 0.250
7 Ti 0.375 0.378 0.750
8 Ti 0.875 0.872 0.750

Results
Formation enthalpy at 0 K (eV per atom): 0.295
Final energy (eV per cell): -62.31

(4)
Entry from Alexandria via LeMat-Bulk: crystalline ScTa2GaTc at its relaxed geometry (PBE-GGA).

Cell lengths 4.784, 4.509, 4.784 Å; angles 90.00, 90.00, 90.00 degrees
Fractional coordinates of all 5 atoms:
1 Sc 0.000 0.000 0.000
2 Tc 0.000 0.500 0.000
3 Ga 0.500 0.500 0.500
4 Ta 0.000 0.000 0.500
5 Ta 0.500 0.000 0.000

Results
Formation enthalpy at 0 K (eV per atom): 1.760
Final energy (eV per cell): -34.63

(5)
Entry from Alexandria via LeMat-Bulk: crystalline LuB2Ru at its relaxed geometry (PBE-GGA).

Cell lengths 3.616, 3.616, 5.017 Å; angles 68.88, 68.88, 60.00 degrees
Fractional coordinates of all 4 atoms:
1 Ru 0.000 0.000 0.000
2 B 0.291 0.291 0.128
3 B 0.709 0.709 0.872
4 Lu 0.500 0.500 0.500

Results
Energy relative to the lowest polymorph listed for this composition (kJ/mol of formula units): 135
Formation enthalpy at 0 K (eV per atom): -0.318
Final energy (eV per cell): -28.42

(6)
Entry from Alexandria via LeMat-Bulk: crystalline RbLi2W at its relaxed geometry (PBE-GGA).

Cell lengths 5.368, 5.368, 5.368 Å; angles 60.00, 60.00, 60.00 degrees
Site moments in Bohr magnetons follow the coordinates.
Fractional coordinates of all 4 atoms:
1 Rb 0.000 0.000 0.000  0.04
2 W 0.500 0.500 0.500  3.01
3 Li 0.250 0.250 0.250  0.02
4 Li 0.750 0.750 0.750  0.02

Results
Energy relative to the lowest polymorph listed for this composition (kJ/mol of formula units): 0
Formation enthalpy at 0 K (eV per atom): 1.475
Final energy (eV per cell): -11.85

formation enthalpy at 0 K of number 3 (Ti2CuRe)?
0.295 eV per atom

Number 4 is which compound?
ScTa2GaTc